First-principles (GGA-PBE) data for a geometry-optimized CdAs2Br structure, as listed in Alexandria.

a b c (Å): 8.591 8.591 8.591
angles (deg): 155.81 154.05 35.78
Atoms (fractional coordinates):
Cd  0.791  0.291  0.500
As  0.101  0.101  0.000
As  0.202  0.702  0.500
Br  0.407  0.407  0.000

Excess energy over the best structure of this formula in the dataset = 99.7 meV per atom
Energy relative to the elements, uncorrected = -0.07 eV per atom



First-principles (GGA-PBE) data for a geometry-optimized Cd2AsBr structure, as listed in Alexandria.

a b c (Å): 7.254 7.254 7.254
angles (deg): 148.02 148.02 45.86
Site moments in Bohr magnetons follow the coordinates.
Atoms (fractional coordinates):
As  0.500  0.500  0.000  0.08
Cd  0.250  0.750  0.500  0.00
Cd  0.000  0.000  0.000  0.00
Br  0.750  0.250  0.500  0.00

Excess energy over the best structure of this formula in the dataset = 474.6 meV per atom
Energy relative to the elements, uncorrected = 0.09 eV per atom



First-principles (GGA-PBE) data for a geometry-optimized Cd2AsBr2 structure, as listed in Alexandria.

a b c (Å): 5.176 5.176 6.738
angles (deg): 67.42 67.42 90.00
Site moments in Bohr magnetons follow the coordinates.
Atoms (fractional coordinates):
Cd  0.380  0.380  0.241  0.05
Cd  0.620  0.620  0.759  0.05
Br  0.750  0.250  0.500  0.08
Br  0.250  0.750  0.500  0.08
As  0.000  0.000  0.000  1.15

Excess energy over the best structure of this formula in the dataset = 220.1 meV per atom
Energy relative to the elements, uncorrected = 0.10 eV per atom



First-principles (GGA-PBE) data for a geometry-optimized Cd2AsBr structure, as listed in Alexandria.

a b c (Å): 7.233 7.233 7.233
angles (deg): 33.64 33.64 33.64
Atoms (fractional coordinates):
Cd  0.983  0.983  0.983
Cd  0.517  0.517  0.517
As  0.250  0.250  0.250
Br  0.750  0.750  0.750

Excess energy over the best structure of this formula in the dataset = 110.2 meV per atom
Energy relative to the elements, uncorrected = -0.28 eV per atom



First-principles (GGA-PBE) data for a geometry-optimized Cd2AsBr structure, as listed in Alexandria.

a b c (Å): 5.539 4.824 4.825
angles (deg): 59.99 90.00 90.00
Atoms (fractional coordinates):
Cd  0.500  0.375  0.374
Cd  0.000  0.042  0.042
Br  0.500  0.708  0.708
As  0.000  0.375  0.376

Excess energy over the best structure of this formula in the dataset = 132.6 meV per atom
Energy relative to the elements, uncorrected = -0.25 eV per atom



First-principles (GGA-PBE) data for a geometry-optimized CdAs2Br structure, as listed in Alexandria.

a b c (Å): 5.596 5.596 8.590
angles (deg): 70.99 70.99 90.00
Atoms (fractional coordinates):
Cd  0.000  0.000  0.000
Cd  0.750  0.250  0.500
As  0.375  0.354  0.750
As  0.104  0.625  0.250
As  0.646  0.125  0.250
As  0.875  0.896  0.750
Br  0.250  0.750  0.500
Br  0.500  0.500  0.000

Excess energy over the best structure of this formula in the dataset = 654.3 meV per atom
Energy relative to the elements, uncorrected = 0.48 eV per atom



First-principles (GGA-PBE) data for a geometry-optimized Cd2AsBr2 structure, as listed in Alexandria.

a b c (Å): 7.847 7.847 5.131
angles (deg): 90.00 90.00 90.00
Site moments in Bohr magnetons follow the coordinates.
Atoms (fractional coordinates):
Cd  0.246  0.746  0.000  -0.01
Cd  0.254  0.246  0.000  -0.01
Cd  0.754  0.254  0.000  -0.01
Cd  0.746  0.754  0.000  -0.01
As  0.000  0.000  0.000  0.42
As  0.500  0.500  0.000  0.42
Br  0.657  0.843  0.500  0.04
Br  0.157  0.657  0.500  0.04
Br  0.843  0.343  0.500  0.04
Br  0.343  0.157  0.500  0.04

Excess energy over the best structure of this formula in the dataset = 0.0 meV per atom
Energy relative to the elements, uncorrected = -0.12 eV per atom



First-principles (GGA-PBE) data for a geometry-optimized Cd2AsBr structure, as listed in Alexandria.

a b c (Å): 5.110 5.110 5.110
angles (deg): 60.00 60.00 60.00
Atoms (fractional coordinates):
Br  0.500  0.500  0.500
Cd  0.250  0.250  0.250
Cd  0.750  0.750  0.750
As  0.000  0.000  0.000

Excess energy over the best structure of this formula in the dataset = 481.6 meV per atom
Energy relative to the elements, uncorrected = 0.10 eV per atom



First-principles (GGA-PBE) data for a geometry-optimized Cd4As2Br3 structure, as listed in Alexandria.

a b c (Å): 12.929 12.929 12.929
angles (deg): 90.00 90.00 90.00
Atoms (fractional coordinates):
Br  0.317  0.930  0.269
Br  0.183  0.430  0.269
Br  0.570  0.731  0.817
Br  0.317  0.570  0.769
Br  0.070  0.731  0.683
Br  0.769  0.317  0.570
Br  0.683  0.430  0.231
Br  0.769  0.183  0.070
Br  0.183  0.070  0.769
Br  0.731  0.683  0.070
Br  0.570  0.769  0.317
Br  0.817  0.570  0.731
Br  0.231  0.817  0.930
Br  0.430  0.269  0.183
Br  0.269  0.183  0.430
Br  0.070  0.769  0.183
Br  0.930  0.231  0.817
Br  0.930  0.269  0.317
Br  0.731  0.817  0.570
Br  0.817  0.930  0.231
Br  0.269  0.317  0.930
Br  0.683  0.070  0.731
Br  0.231  0.683  0.430
Br  0.430  0.231  0.683
Cd  0.031  0.987  0.249
Cd  0.531  0.987  0.251
Cd  0.277  0.777  0.723
Cd  0.749  0.469  0.013
Cd  0.251  0.531  0.987
Cd  0.531  0.513  0.751
Cd  0.777  0.723  0.277
Cd  0.249  0.031  0.987
Cd  0.513  0.749  0.031
Cd  0.723  0.223  0.277
Cd  0.723  0.277  0.777
Cd  0.751  0.969  0.013
Cd  0.277  0.723  0.223
Cd  0.987  0.251  0.531
Cd  0.969  0.013  0.751
Cd  0.487  0.251  0.969
Cd  0.469  0.487  0.249
Cd  0.013  0.749  0.469
Cd  0.513  0.751  0.531
Cd  0.469  0.013  0.749
Cd  0.223  0.223  0.223
Cd  0.031  0.513  0.749
Cd  0.751  0.531  0.513
Cd  0.223  0.277  0.723
Cd  0.969  0.487  0.251
Cd  0.487  0.249  0.469
Cd  0.749  0.031  0.513
Cd  0.251  0.969  0.487
Cd  0.249  0.469  0.487
Cd  0.987  0.249  0.031
Cd  0.777  0.777  0.777
Cd  0.013  0.751  0.969
As  0.393  0.607  0.107
As  0.446  0.054  0.946
As  0.554  0.946  0.054
As  0.607  0.107  0.393
As  0.446  0.446  0.446
As  0.607  0.393  0.893
As  0.054  0.946  0.446
As  0.946  0.446  0.054
As  0.393  0.893  0.607
As  0.107  0.107  0.107
As  0.946  0.054  0.554
As  0.893  0.893  0.893
As  0.107  0.393  0.607
As  0.554  0.554  0.554
As  0.893  0.607  0.393
As  0.054  0.554  0.946

Energy relative to the elements, uncorrected = -0.50 eV per atom



First-principles (GGA-PBE) data for a geometry-optimized CdAsBr structure, as listed in Alexandria.

a b c (Å): 4.908 4.908 4.908
angles (deg): 60.00 60.00 60.00
Atoms (fractional coordinates):
Cd  0.500  0.500  0.500
Br  0.000  0.000  0.000
As  0.250  0.250  0.250

Excess energy over the best structure of this formula in the dataset = 759.3 meV per atom
Energy relative to the elements, uncorrected = 0.32 eV per atom



First-principles (GGA-PBE) data for a geometry-optimized Cd2AsBr structure, as listed in Alexandria.

a b c (Å): 7.760 7.760 3.934
angles (deg): 90.05 90.05 29.24
Atoms (fractional coordinates):
As  0.520  0.520  0.625
Br  0.273  0.273  0.127
Cd  0.014  0.014  0.125
Cd  0.693  0.693  0.622

Excess energy over the best structure of this formula in the dataset = 157.2 meV per atom
Energy relative to the elements, uncorrected = -0.23 eV per atom



First-principles (GGA-PBE) data for a geometry-optimized CdAs2Br structure, as listed in Alexandria.

a b c (Å): 6.722 6.722 6.722
angles (deg): 151.65 139.25 50.38
Atoms (fractional coordinates):
As  0.963  0.963  0.000
As  0.537  0.537  0.000
Br  0.250  0.750  0.500
Cd  0.750  0.250  0.500

Excess energy over the best structure of this formula in the dataset = 382.7 meV per atom
Energy relative to the elements, uncorrected = 0.21 eV per atom